A relaxed structure of Zr4PPb, computed with GGA-PBEsol.

Unit cell a=5.6556 b=5.6556 c=5.6556 alpha=60.00 beta=60.00 gamma=60.00
Positions (direct):
P  0.7500  0.7500  0.7500
Pb  0.0000  0.0000  0.0000
Zr  0.3747  0.3747  0.3747
Zr  0.3747  0.3747  0.8760
Zr  0.8760  0.3747  0.3747
Zr  0.3747  0.8760  0.3747

Computed properties:
Density in g/cm³: 7.83
Symmetry: F-43m (216)
ΔE_f in eV/atom: 0.216
Raw total energy in eV for the cell shown: -44.85
Crystal system: cubic